Entry 1:
Below is a PBEsol-optimized structure of YScAu2, with properties calculated at the SCAN level.

```
YScAu2
1.0
0.000 3.455 3.455
3.455 0.000 3.455
3.455 3.455 0.000
Y Sc Au
1 1 2
direct
0.000 0.000 0.000
0.500 0.500 0.500
0.250 0.250 0.250
0.750 0.750 0.750
```

ΔE_f: -1.072 eV/atom
Energy above the most stable polymorph in this dataset: 0.07 eV per formula unit

Entry 2:
Below is a PBEsol-optimized structure of BaOs2RuW, with properties calculated at the SCAN level.

```
BaOs2RuW
1.0
4.789 0.000 0.000
0.000 4.789 0.000
0.000 0.000 4.738
Ba Os Ru W
1 2 1 1
direct
0.000 0.000 0.000
0.000 0.500 0.500
0.500 0.000 0.500
0.500 0.500 0.500
0.500 0.500 0.000
```

ΔE_f: 1.637 eV/atom

Entry 3:
Below is a PBEsol-optimized structure of Ca2ReCl, with properties calculated at the SCAN level.

```
Ca2ReCl
1.0
1.687 0.974 8.570
-1.687 0.974 8.570
0.000 -1.948 8.570
Ca Re Cl
2 1 1
direct
0.250 0.250 0.250
0.750 0.750 0.750
0.500 0.500 0.500
0.000 0.000 0.000
```

Uncorrected formation energy: -1.00 eV per formula unit
Energy above the most stable polymorph in this dataset: 0.00 eV per formula unit

Entry 4:
Below is a PBEsol-optimized structure of BaLi2Mg, with properties calculated at the SCAN level.

```
BaLi2Mg
1.0
3.540 0.000 0.000
0.000 5.141 0.000
-0.859 0.000 6.636
Ba Li Mg
1 2 1
direct
0.000 0.000 0.000
0.268 0.500 0.679
0.732 0.500 0.321
0.500 0.000 0.500
```

ΔE_f: 0.089 eV/atom

Entry 5:
Below is a PBEsol-optimized structure of MnRe2Se, with properties calculated at the SCAN level.

```
MnRe2Se
1.0
1.400 0.808 8.217
-1.400 0.808 8.217
0.000 -1.617 8.217
Mn Re Se
1 2 1
direct
0.000 0.000 0.000
0.503 0.503 0.503
0.751 0.751 0.751
0.262 0.262 0.262
```

Uncorrected formation energy: 1.15 eV per formula unit

Entry 6:
Below is a PBEsol-optimized structure of BaAg3, with properties calculated at the SCAN level.

```
BaAg3
1.0
4.693 0.000 0.000
0.000 7.179 0.000
0.000 0.000 6.127
Ba Ag
2 6
direct
0.250 0.250 0.136
0.750 0.750 0.864
0.250 0.050 0.621
0.250 0.450 0.621
0.250 0.750 0.327
0.750 0.250 0.673
0.750 0.550 0.379
0.750 0.950 0.379
```

ΔE_f: -0.179 eV/atom
Energy above the most stable polymorph in this dataset: 0.08 eV per formula unit

Entry 7:
Below is a PBEsol-optimized structure of MgTi2Te, with properties calculated at the SCAN level.

```
MgTi2Te
1.0
0.000 3.326 3.326
3.326 0.000 3.326
3.326 3.326 0.000
Mg Ti Te
1 2 1
direct
0.000 0.000 0.000
0.250 0.250 0.250
0.750 0.750 0.750
0.500 0.500 0.500
```

Uncorrected formation energy: 0.22 eV per formula unit

Entry 8:
Below is a PBEsol-optimized structure of SnBiO2F, with properties calculated at the SCAN level.

```
SnBiO2F
1.0
4.152 0.000 0.000
0.000 4.152 0.000
0.000 0.000 4.347
Sn Bi O F
1 1 2 1
direct
0.000 0.000 0.000
0.500 0.500 0.500
0.000 0.500 0.000
0.500 0.000 0.000
0.000 0.000 0.500
```

Uncorrected formation energy: -5.28 eV per formula unit

Entry 9:
Below is a PBEsol-optimized structure of La3Y, with properties calculated at the SCAN level.

```
La3Y
1.0
-1.823 5.887 3.133
1.823 -5.887 3.133
1.823 5.887 -3.133
La Y
3 1
direct
0.000 0.000 0.000
0.087 0.338 0.749
0.589 0.338 0.251
0.497 0.997 0.500
```

ΔE_f: 0.034 eV/atom

Entry 10:
Below is a PBEsol-optimized structure of Ni2AgOs, with properties calculated at the SCAN level.

```
Ni2AgOs
1.0
1.380 -2.190 0.000
1.380 2.190 0.000
0.000 0.000 8.692
Ni Ag Os
2 1 1
direct
0.000 0.000 0.000
0.500 0.500 0.221
0.500 0.500 0.745
0.000 0.000 0.456
```

ΔE_f: 0.479 eV/atom
Energy above the most stable polymorph in this dataset: 0.11 eV per formula unit

Entry 11:
Below is a PBEsol-optimized structure of In5AgSe8, with properties calculated at the SCAN level.

```
In5AgSe8
1.0
5.764 0.000 0.000
0.000 5.764 0.000
0.000 0.000 11.641
In Ag Se
5 1 8
direct
0.000 0.000 0.000
0.000 0.500 0.256
0.000 0.500 0.744
0.500 0.000 0.256
0.500 0.000 0.744
0.500 0.500 0.500
0.222 0.222 0.612
0.222 0.778 0.388
0.279 0.279 0.111
0.279 0.721 0.889
0.721 0.279 0.889
0.721 0.721 0.111
0.778 0.222 0.388
0.778 0.778 0.612
```

Uncorrected formation energy: -7.98 eV per formula unit

Entry 12:
Below is a PBEsol-optimized structure of CrSi3Rh, with properties calculated at the SCAN level.

```
CrSi3Rh
1.0
4.548 0.000 0.000
0.000 4.548 0.000
0.000 0.000 4.548
Cr Si Rh
1 3 1
direct
0.000 0.000 0.000
0.000 0.500 0.500
0.500 0.000 0.500
0.500 0.500 0.000
0.500 0.500 0.500
```

Uncorrected formation energy: 2.99 eV per formula unit